1.
Density functional theory data (PBE-GGA) for an optimized crystal structure of Zn3GeRh.

abc: 4.7403 4.7403 4.7403
angles: 90.00 90.00 90.00
Positions (direct):
Zn 0.0000 0.0000 0.5000
Zn 0.0000 0.5000 0.0000
Zn 0.5000 0.0000 0.0000
Ge 0.5000 0.5000 0.5000
Rh 0.0000 0.0000 0.0000

Output
The formation energy comes out at 0.38 eV per atom. As for the space group: No. 221. As for the density of states at the Fermi level: 3.62 states/eV/f.u. The uncorrected energy comes out at -2.7774 eV/atom. The density comes out at 5.80 Mg/m³.

2.
Density functional theory data (PBE-GGA) for an optimized crystal structure of ZnGeRh3.

abc: 4.5175 4.5175 4.5175
angles: 90.00 90.00 90.00
Positions (direct):
Zn 0.0000 0.0000 0.0000
Ge 0.5000 0.5000 0.5000
Rh 0.0000 0.5000 0.5000
Rh 0.5000 0.0000 0.5000
Rh 0.5000 0.5000 0.0000

Output
The formation energy comes out at 0.44 eV per atom. As for the space group: No. 221. As for the density of states at the Fermi level: 7.09 states/eV/f.u. The uncorrected energy comes out at -5.1474 eV/atom. The density comes out at 8.05 Mg/m³.

3.
Density functional theory data (PBE-GGA) for an optimized crystal structure of Zn2Ge2Rh.

abc: 3.1463 5.0920 10.6403
angles: 89.24 81.56 72.19
Positions (direct):
Zn 0.0587 0.0822 0.2948
Zn 0.1857 0.2632 0.8680
Zn 0.8143 0.7368 0.1320
Zn 0.9413 0.9178 0.7052
Ge 0.3572 0.2618 0.5241
Ge 0.4347 0.7308 0.9101
Ge 0.5653 0.2692 0.0899
Ge 0.6428 0.7382 0.4759
Rh 0.3245 0.5341 0.3128
Rh 0.6755 0.4659 0.6872

Output
The formation energy comes out at -0.17 eV per atom. As for the space group: No. 2. As for the density of states at the Fermi level: 1.21 states/eV/f.u. The uncorrected energy comes out at -3.9920 eV/atom. The density comes out at 7.84 Mg/m³.

4.
Density functional theory data (PBE-GGA) for an optimized crystal structure of ZnGe2Rh.

abc: 6.8735 6.8735 6.8735
angles: 35.16 35.16 35.16
Positions (direct):
Zn 0.0000 0.0000 0.0000
Ge 0.1286 0.1286 0.1286
Ge 0.8714 0.8714 0.8714
Rh 0.5000 0.5000 0.5000

Output
The formation energy comes out at 0.12 eV per atom. As for the space group: No. 166. As for the density of states at the Fermi level: 2.60 states/eV/f.u. The uncorrected energy comes out at -4.3461 eV/atom. The density comes out at 5.41 Mg/m³.